VASP calculation (PBE-GGA) on La3PrTe3O4 after structural relaxation.

- Total DFT energy (no corrections): -156.4 eV for the cell shown
- Magnetization: 0.00 μB per formula unit

```
data_La3PrTe3O4
_chemical_formula_sum 'La6 Pr2 Te6 O8'
_space_group_name_H-M_alt 'A m m 2'
_space_group_IT_number 38
_cell_length_a 8.914
_cell_length_b 4.165
_cell_length_c 13.616
_cell_angle_alpha 90.00
_cell_angle_beta 90.00
_cell_angle_gamma 90.00
loop_
_space_group_symop_operation_xyz
'x,y,z'
'-x,-y,z'
'-x,y,z'
'x,-y,z'
'x,y+1/2,z+1/2'
'-x,-y+1/2,z+1/2'
'-x,y+1/2,z+1/2'
'x,-y+1/2,z+1/2'
loop_
_atom_site_label
_atom_site_fract_x
_atom_site_fract_y
_atom_site_fract_z
La1 0.000 0.000 0.000
La2 0.240 0.000 0.669
Pr1 0.500 0.000 0.018
Te1 0.000 0.000 0.299
Te2 0.338 0.000 0.358
O1 0.000 0.000 0.578
O2 0.245 0.000 0.084
O3 0.500 0.000 0.609
```